No. 1
Th2ZrCu, relaxed, DFT PBE-GGA; ΔE to the lowest computed polymorph = 0 meV per atom; total magnetic moment = 0.00 μB per atom; space-group type = No. 123; energy = -6.83 eV per atom; ρ = 9.99 g/cm³
1.0
3.454 0.000 0.000
0.000 3.454 0.000
0.000 0.000 8.622
Th Zr Cu
2 1 1
Cartesian
0.000 0.000 1.917
0.000 0.000 6.706
1.727 1.727 4.311
1.727 1.727 0.000

---

No. 2
ThZrCu, relaxed, DFT PBE-GGA; ΔE to the lowest computed polymorph = 171 meV per atom; total magnetic moment = 0.00 μB per atom; space-group type = No. 187; energy = -6.55 eV per atom; ρ = 8.85 g/cm³
1.0
4.509 0.000 0.000
-2.254 3.905 0.000
0.000 0.000 4.121
Th Zr Cu
1 1 1
Cartesian
0.000 0.000 0.000
0.000 2.603 2.060
2.254 1.302 2.060

---

No. 3
Th2ZrCu, relaxed, DFT PBE-GGA; ΔE to the lowest computed polymorph = 59 meV per atom; total magnetic moment = 0.00 μB per atom; space-group type = No. 123; energy = -6.77 eV per atom; ρ = 10.11 g/cm³
1.0
5.376 0.000 0.000
0.000 5.376 0.000
0.000 0.000 3.515
Th Zr Cu
2 1 1
Cartesian
0.000 2.688 0.000
2.688 0.000 0.000
0.000 0.000 1.757
2.688 2.688 1.757

---

Which value of energy does entry 2 give?
-6.55 eV per atom